No. 1
BeOsRu2 PBE optimized geometry; total magnetization = 0.00 μB/f.u.; ρ = 13.35 Mg/m³; calculated formation energy = -90 meV/atom
1.0
2.776 0.000 0.000
0.000 2.776 0.000
0.000 0.000 6.479
Be Os Ru
1 1 2
Cartesian
0.000 0.000 0.000
0.000 0.000 3.240
1.388 1.388 1.408
1.388 1.388 5.071

---

No. 2
RbNp2UO8 PBE optimized geometry; total magnetization = 5.00 μB/f.u.; formation energy (no corrections) = -2783 meV/atom; ρ = 7.49 Mg/m³
1.0
5.328 0.000 0.000
0.269 5.328 0.000
0.312 0.293 7.229
Rb Np U O
1 2 1 8
Cartesian
0.000 0.000 0.000
2.828 2.690 1.846
3.082 2.930 5.383
0.156 0.147 3.614
1.444 4.436 5.018
1.420 4.414 2.209
1.931 1.844 3.487
2.228 2.129 6.961
3.682 3.491 0.268
3.979 3.777 3.742
4.490 1.207 5.020
4.466 1.185 2.211

---

No. 3
UMnSi2Tc PBE optimized geometry; total magnetization = 4.53 μB/f.u.; formation energy (no corrections) = -410 meV/atom; ρ = 9.10 Mg/m³
1.0
-1.995 1.995 5.124
1.995 -1.995 5.124
1.995 1.995 -5.124
U Mn Si Tc
1 1 2 1
Cartesian
0.000 0.000 0.000
1.995 0.000 2.562
0.000 0.000 3.936
0.000 0.000 6.312
0.000 1.995 2.562

---

No. 4
PmDy6Tm2 PBE optimized geometry; total magnetization = 0.00 μB/f.u.; energy relative to the lowest polymorph listed for this composition = 223.1 meV/atom; ρ = 8.49 Mg/m³; calculated formation energy = 242 meV/atom
1.0
7.396 0.000 0.000
-3.698 6.405 0.000
0.000 0.000 6.023
Pm Dy Tm
1 6 2
Cartesian
0.000 0.000 0.000
0.000 2.407 4.249
-1.613 5.201 4.249
2.085 1.204 1.774
1.613 5.201 4.249
5.311 1.204 1.774
3.698 3.998 1.774
0.000 4.270 1.281
3.698 2.135 4.741

---

No. 5
Tm3ScNi2 PBE optimized geometry; total magnetization = 0.00 μB/f.u.; ρ = 8.14 Mg/m³; calculated formation energy = -310 meV/atom
1.0
7.861 -1.890 0.000
7.861 1.890 0.000
-6.065 0.000 9.185
Tm Sc Ni
6 2 4
Cartesian
-1.427 0.000 4.084
-4.371 0.000 8.579
0.822 0.000 6.945
8.834 0.000 2.240
14.028 0.000 0.605
11.084 0.000 5.101
3.851 0.000 2.303
5.806 0.000 6.882
-1.530 0.000 8.671
1.515 0.000 4.107
8.141 0.000 5.078
11.187 0.000 0.514

---

No. 6
NaSbP3 PBE optimized geometry; total magnetization = 0.00 μB/f.u.; formation energy (no corrections) = 1369 meV/atom; energy relative to the lowest polymorph listed for this composition = 554.2 meV/atom; ρ = 3.47 Mg/m³
1.0
4.845 0.000 0.000
0.000 4.845 0.000
0.000 0.000 4.845
Na Sb P
1 1 3
Cartesian
0.000 0.000 0.000
2.423 2.423 2.423
0.000 0.000 2.423
0.000 2.423 0.000
2.423 0.000 0.000

---

No. 7
ZrHPt PBE optimized geometry; total magnetization = 0.00 μB/f.u.; energy relative to the lowest polymorph listed for this composition = 136.0 meV/atom; ρ = 11.49 Mg/m³
1.0
5.198 -1.847 0.000
5.198 1.847 0.000
-0.075 0.000 4.325
Zr H Pt
2 2 2
Cartesian
0.000 0.000 0.000
7.453 0.000 2.116
5.777 0.000 3.454
9.852 0.000 2.134
2.706 0.000 4.301
4.552 0.000 2.120

---

No. 8
Ti4SnGe PBE optimized geometry; total magnetization = 0.00 μB/f.u.; ρ = 5.76 Mg/m³; calculated formation energy = -33 meV/atom
1.0
4.475 -1.468 0.000
4.475 1.468 0.000
-4.179 0.000 8.406
Ti Sn Ge
4 1 1
Cartesian
-0.057 0.000 2.702
2.475 0.000 1.230
2.295 0.000 7.176
4.827 0.000 5.704
2.385 0.000 4.203
0.000 0.000 0.000